Compound: CsCeI6
Source: the Alexandria database
Functional: GGA-PBE
Structure: relaxed

Cell: 7.2870 7.2870 8.1025 Å, 81.54 81.54 98.38°
Atoms (fractional coordinates):
Cs1 0.5000 0.5000 0.5000
Ce1 0.0000 0.0000 0.0000
I1 0.0547 0.6800 0.2613
I2 0.6800 0.0547 0.2613
I3 0.3200 0.9453 0.7387
I4 0.9453 0.3200 0.7387
I5 0.2736 0.2736 0.1333
I6 0.7264 0.7264 0.8667

Computed properties:
E ... -3.047 eV/atom
Theoretical density ... 4.14 Mg/m³
V ... 414.7 Å³ per cell

=====

Compound: SrSiAsBr2
Source: the Alexandria database
Functional: GGA-PBE
Structure: relaxed

Cell: 5.2593 5.2593 4.9979 Å, 90.00 90.00 90.00°
Atoms (fractional coordinates):
Sr1 0.5000 0.5000 0.5000
As1 0.0000 0.0000 0.5000
Si1 0.0000 0.0000 0.0000
Br1 0.0000 0.5000 0.0000
Br2 0.5000 0.0000 0.0000

Computed properties:
E ... -3.561 eV/atom
E above lowest polymorph ... 0 meV per atom
Theoretical density ... 4.21 Mg/m³
V ... 138.2 Å³ per cell

=====

Compound: Ir2PtAu
Source: the Alexandria database
Functional: GGA-PBE
Structure: relaxed

Cell: 4.8407 4.8407 4.8407 Å, 131.46 131.46 71.08°
Atoms (fractional coordinates):
Au1 0.7500 0.2500 0.5000
Ir1 0.0000 0.0000 0.0000
Ir2 0.5000 0.5000 0.0000
Pt1 0.2500 0.7500 0.5000

Computed properties:
E ... -6.444 eV/atom
E above lowest polymorph ... 206 meV per atom
Theoretical density ... 20.67 Mg/m³
V ... 62.4 Å³ per cell
DFT formation energy ... 316 meV/atom

=====

Compound: InPtI2O
Source: the Alexandria database
Functional: GGA-PBE
Structure: relaxed

Cell: 5.8919 5.8919 3.8568 Å, 90.00 90.00 90.00°
Atoms (fractional coordinates):
I1 0.0000 0.5000 0.0000
I2 0.5000 0.0000 0.0000
O1 0.0000 0.0000 0.5000
Pt1 0.0000 0.0000 0.0000
In1 0.5000 0.5000 0.5000

Computed properties:
E ... -3.534 eV/atom
E above lowest polymorph ... 0 meV per atom
Theoretical density ... 7.19 Mg/m³
V ... 133.9 Å³ per cell

=====

Compound: SrCaGaPd
Source: the Alexandria database
Functional: GGA-PBE
Structure: relaxed

Cell: 4.3039 4.4740 6.1843 Å, 90.00 110.36 90.00°
Atoms (fractional coordinates):
Sr1 0.7446 0.5000 0.4893
Ca1 0.0273 0.0000 0.0546
Ga1 0.4550 0.5000 0.9100
Pd1 0.3427 0.0000 0.6854

Computed properties:
E ... -3.539 eV/atom
E above lowest polymorph ... 0 meV per atom
Theoretical density ... 4.52 Mg/m³
V ... 111.6 Å³ per cell
DFT formation energy ... -564 meV/atom

=====

Compound: SmTh2Sb
Source: the Alexandria database
Functional: GGA-PBE
Structure: relaxed

Cell: 5.1716 4.7695 4.7695 Å, 90.00 90.00 90.00°
Atoms (fractional coordinates):
Sb1 0.5000 0.0000 0.0000
Sm1 0.5000 0.5000 0.5000
Th1 0.0000 0.0000 0.5000
Th2 0.0000 0.5000 0.0000

Computed properties:
E ... -6.356 eV/atom
Theoretical density ... 10.39 Mg/m³
V ... 117.6 Å³ per cell

=====

Compound: LaY6Co2
Source: the Alexandria database
Functional: GGA-PBE
Structure: relaxed

Cell: 8.6206 8.6206 8.6206 Å, 109.14 106.42 112.92°
Atoms (fractional coordinates):
La1 0.0000 0.5000 0.5000
La2 0.0000 0.0000 0.0000
Y1 0.4899 0.2978 0.1920
Y2 0.5101 0.7022 0.8079
Y3 0.8942 0.7022 0.1920
Y4 0.1058 0.2978 0.8080
Y5 0.2310 0.7801 0.0111
Y6 0.7690 0.2199 0.9889
Y7 0.7690 0.7801 0.5491
Y8 0.2310 0.2199 0.4509
Y9 0.3026 0.9961 0.6936
Y10 0.6974 0.0039 0.3064
Y11 0.6974 0.3910 0.6936
Y12 0.3026 0.6090 0.3064
Co1 0.5000 0.3900 0.8900
Co2 0.5000 0.6100 0.1100
Co3 0.3880 0.0000 0.3880
Co4 0.6120 0.0000 0.6120

Computed properties:
E ... -6.464 eV/atom
Theoretical density ... 5.34 Mg/m³
V ... 491.6 Å³ per cell
DFT formation energy ... -28 meV/atom

=====

Compound: Rb2SrPbF
Source: the Alexandria database
Functional: GGA-PBE
Structure: relaxed

Cell: 5.8178 5.8178 5.1843 Å, 90.00 90.00 90.00°
Atoms (fractional coordinates):
Pb1 0.5000 0.5000 0.5000
Sr1 0.0000 0.0000 0.5000
Rb1 0.0000 0.5000 0.0000
Rb2 0.5000 0.0000 0.0000
F1 0.0000 0.0000 0.0000

Computed properties:
E ... -2.971 eV/atom
Theoretical density ... 4.59 Mg/m³
V ... 175.5 Å³ per cell

=====

Compound: Rb3NpBr8
Source: the Alexandria database
Functional: GGA-PBE
Structure: relaxed

Cell: 7.8389 7.8389 9.4827 Å, 114.41 114.41 90.00°
Atoms (fractional coordinates):
Rb1 0.7500 0.2500 0.5000
Rb2 0.5000 0.5000 0.0000
Rb3 0.2500 0.7500 0.5000
Np1 0.0000 0.0000 0.0000
Br1 0.3258 0.3258 0.2199
Br2 0.3258 0.8940 0.2199
Br3 0.1060 0.6742 0.7801
Br4 0.1060 0.1060 0.7801
Br5 0.8940 0.8940 0.2199
Br6 0.8940 0.3258 0.2199
Br7 0.6742 0.1060 0.7801
Br8 0.6742 0.6742 0.7801

Computed properties:
E ... -3.763 eV/atom
E above lowest polymorph ... 72 meV per atom
Theoretical density ... 3.98 Mg/m³
V ... 472.8 Å³ per cell

=====

Compound: Ca7Cd3N2
Source: the Alexandria database
Functional: GGA-PBE
Structure: relaxed

Cell: 4.9110 4.9417 12.6881 Å, 101.23 90.00 90.00°
Atoms (fractional coordinates):
Ca1 0.0000 0.3992 0.7984
Ca2 0.0000 0.8040 0.6079
Ca3 0.0000 0.0000 0.0000
Ca4 0.0000 0.6008 0.2016
Ca5 0.5000 0.1001 0.2001
Ca6 0.5000 0.8999 0.7999
Ca7 0.0000 0.1960 0.3921
Cd1 0.5000 0.5000 0.0000
Cd2 0.5000 0.7092 0.4183
Cd3 0.5000 0.2908 0.5817
N1 0.0000 0.8986 0.7973
N2 0.0000 0.1014 0.2027

Computed properties:
E ... -3.337 eV/atom
Theoretical density ... 3.55 Mg/m³
V ... 302.0 Å³ per cell

=====

Compound: Zr3PbAu
Source: the Alexandria database
Functional: GGA-PBE
Structure: relaxed

Cell: 5.1932 5.1932 5.1932 Å, 90.00 90.00 90.00°
Atoms (fractional coordinates):
Pb1 0.5000 0.5000 0.5000
Au1 0.0000 0.0000 0.0000
Zr1 0.0000 0.5000 0.0000
Zr2 0.0000 0.0000 0.5000
Zr3 0.5000 0.0000 0.0000

Computed properties:
E ... -6.143 eV/atom
E above lowest polymorph ... 0 meV per atom
Theoretical density ... 8.04 Mg/m³
V ... 140.1 Å³ per cell
DFT formation energy ... 383 meV/atom

=====

Compound: AcNdIO6
Source: the Alexandria database
Functional: GGA-PBE
Structure: relaxed

Cell: 5.9892 5.9892 9.4364 Å, 90.00 90.00 120.00°
Atoms (fractional coordinates):
Ac1 0.3333 0.6667 0.2500
Ac2 0.6667 0.3333 0.7500
Nd1 0.0000 0.0000 0.0000
Nd2 0.0000 0.0000 0.5000
I1 0.6667 0.3333 0.2500
I2 0.3333 0.6667 0.7500
O1 0.6873 0.6254 0.1313
O2 0.9381 0.3127 0.1313
O3 0.3127 0.9381 0.6313
O4 0.0619 0.6873 0.8687
O5 0.3746 0.3127 0.3687
O6 0.9381 0.6254 0.3687
O7 0.6254 0.9381 0.8687
O8 0.6873 0.0619 0.3687
O9 0.0619 0.3746 0.6313
O10 0.3746 0.0619 0.1313
O11 0.6254 0.6873 0.6313
O12 0.3127 0.3746 0.8687

Computed properties:
E ... -6.392 eV/atom
Theoretical density ... 6.73 Mg/m³
V ... 293.1 Å³ per cell

=====

Q: Look up the theoretical density of the seventh one.
A: 5.34 Mg/m³

=====

Q: What is the theoretical density in the fourth record?
A: 7.19 Mg/m³